[1]
Density functional theory data (PBE) for La2MgIn4Ag3 after structural relaxation.

* raw total energy: -0.1256 hartree per atom
* spin magnetization: 0.00 Bohr magnetons per cell
* DOS(E_F): 7.72 states/eV/f.u.
* ΔE_f: -0.323 eV/atom
* ρ: 7.12 Mg/m³

CIF file:
```
data_La2MgIn4Ag3
_chemical_formula_sum 'La2 Mg1 In4 Ag3'
_symmetry_space_group_name_H-M 'P -4 m 2'
_symmetry_Int_Tables_number 115
_symmetry_space_group_name_Hall 'P -4 -2'
_cell_length_a 4.5217
_cell_length_b 4.5217
_cell_length_c 12.3706
_cell_angle_alpha 90.00
_cell_angle_beta 90.00
_cell_angle_gamma 90.00
loop_
_atom_site_label
_atom_site_fract_x
_atom_site_fract_y
_atom_site_fract_z
La1 0.0000 0.5000 0.2417
Mg1 0.0000 0.0000 0.5000
In1 0.0000 0.0000 0.0000
In2 0.0000 0.5000 0.6434
In3 0.5000 0.5000 0.0000
Ag1 0.0000 0.5000 0.8616
Ag2 0.5000 0.5000 0.5000
```

[2]
Density functional theory data (PBE) for BaLi2Ru after structural relaxation.

* raw total energy: -0.1223 hartree per atom
* polymorph energy (0 for the lowest one): 0.056 eV per atom
* spin magnetization: 0.62 Bohr magnetons per cell
* DOS(E_F): 4.49 states/eV/f.u.
* ΔE_f: 0.428 eV/atom
* ρ: 4.59 Mg/m³

CIF file:
```
data_BaLi2Ru
_chemical_formula_sum 'Ba2 Li4 Ru2'
_symmetry_space_group_name_H-M 'I m m m'
_symmetry_Int_Tables_number 71
_symmetry_space_group_name_Hall '-I 2 2'
_cell_length_a 3.4866
_cell_length_b 5.0260
_cell_length_c 10.4181
_cell_angle_alpha 90.00
_cell_angle_beta 90.00
_cell_angle_gamma 90.00
loop_
_atom_site_label
_atom_site_fract_x
_atom_site_fract_y
_atom_site_fract_z
Ba1 0.0000 0.0000 0.0000
Li1 0.0000 0.5000 0.2037
Ru1 0.0000 0.0000 0.5000
```